Material: La2MoHO6
Method: DFT, PBE with a Hubbard U
State: optimized geometry

## Properties
Final energy, eV/atom: -7.431
ρ, g cm⁻³: 5.78
Size of the total moment, μB/f.u.: 1.0

a b c (Å): 7.998 8.531 5.108
angles (deg): 90.00 129.15 90.00
Space group Cm (No. 8)
Unique sites:
La1 0.000 0.222 0.000 (multiplicity 4)
Mo1 0.446 0.000 0.414 (multiplicity 2)
H1 0.141 0.000 0.683 (multiplicity 2)
O1 0.045 0.500 0.153 (multiplicity 2)
O2 0.131 0.000 0.869 (multiplicity 2)
O3 0.198 0.000 0.415 (multiplicity 2)
O4 0.229 0.500 0.821 (multiplicity 2)
O5 0.398 0.235 0.370 (multiplicity 4)